[1]
The following is a PBE-GGA calculation of a relaxed Be3BO crystal, from Alexandria.

For the total energy, the calculation gives -4.78 eV per atom. The calculation puts the density of states at the Fermi level at 2.53 states/eV/cell. The uncorrected formation energy comes out at -1.1 eV/f.u. For the total magnetization, the calculation gives 0.00 μB/f.u. Its symmetry is No. 221.

Cell lengths 3.3580, 3.3580, 3.3580 Å; angles 90.00, 90.00, 90.00 degrees
Sites, in units of the cell vectors:
Be  0.0000  0.0000  0.5000
Be  0.0000  0.5000  0.0000
Be  0.5000  0.0000  0.0000
B  0.5000  0.5000  0.5000
O  0.0000  0.0000  0.0000

---

[2]
The following is a PBE-GGA calculation of a relaxed Pm5HgSb4 crystal, from Alexandria.

For the total energy, the calculation gives -5.05 eV per atom. The calculation puts the density of states at the Fermi level at 4.34 states/eV/cell. The uncorrected formation energy comes out at -10.0 eV/f.u. For the total magnetization, the calculation gives 0.00 μB/f.u. Its symmetry is No. 139.

Cell lengths 16.1786, 16.1786, 16.1786 Å; angles 164.07, 164.07, 22.60 degrees
Sites, in units of the cell vectors:
Pm  0.0000  0.0000  0.0000
Pm  0.2000  0.2000  0.0000
Pm  0.3966  0.3966  0.0000
Pm  0.6034  0.6034  0.0000
Pm  0.8000  0.8000  0.0000
Hg  0.5000  0.5000  0.0000
Sb  0.0985  0.0985  0.0000
Sb  0.2996  0.2996  0.0000
Sb  0.7004  0.7004  0.0000
Sb  0.9015  0.9015  0.0000

---

[3]
The following is a PBE-GGA calculation of a relaxed MgTl2Au2 crystal, from Alexandria.

For the total energy, the calculation gives -2.70 eV per atom. Its formation energy is -121 meV per atom. The calculation puts the density of states at the Fermi level at 3.90 states/eV/cell. For the total magnetization, the calculation gives 0.00 μB/f.u. Its symmetry is No. 127.

Cell lengths 7.3670, 7.3670, 4.4068 Å; angles 90.00, 90.00, 90.00 degrees
Sites, in units of the cell vectors:
Mg  0.0000  0.0000  0.0000
Mg  0.5000  0.5000  0.0000
Tl  0.1675  0.3325  0.5000
Tl  0.3325  0.8325  0.5000
Tl  0.6675  0.1675  0.5000
Tl  0.8325  0.6675  0.5000
Au  0.1416  0.6416  0.0000
Au  0.3584  0.1416  0.0000
Au  0.6416  0.8584  0.0000
Au  0.8584  0.3584  0.0000

---

[4]
The following is a PBE-GGA calculation of a relaxed Co2NiW crystal, from Alexandria.

For the total energy, the calculation gives -8.14 eV per atom. Its formation energy is 93 meV per atom. The calculation puts the density of states at the Fermi level at 4.51 states/eV/cell. For the total magnetization, the calculation gives 2.35 μB/f.u. Its symmetry is No. 8.

Cell lengths 4.4678, 4.4678, 4.4106 Å; angles 100.31, 100.31, 34.18 degrees
Sites, in units of the cell vectors:
Co  0.0000  0.0000  0.0000
Co  0.7415  0.7415  0.2273
Ni  0.2519  0.2519  0.7498
W  0.4972  0.4972  0.4954

---

[5]
The following is a PBE-GGA calculation of a relaxed Nb2TlRh2 crystal, from Alexandria.

For the total energy, the calculation gives -7.63 eV per atom. Its formation energy is -186 meV per atom. The calculation puts the density of states at the Fermi level at 7.14 states/eV/cell. For the total magnetization, the calculation gives 0.00 μB/f.u. Its symmetry is No. 127.

Cell lengths 7.7323, 7.7323, 2.9809 Å; angles 90.00, 90.00, 90.00 degrees
Sites, in units of the cell vectors:
Nb  0.1643  0.3357  0.0000
Nb  0.3357  0.8357  0.0000
Nb  0.6643  0.1643  0.0000
Nb  0.8357  0.6643  0.0000
Tl  0.0000  0.0000  0.5000
Tl  0.5000  0.5000  0.5000
Rh  0.1277  0.6277  0.5000
Rh  0.3723  0.1277  0.5000
Rh  0.6277  0.8723  0.5000
Rh  0.8723  0.3723  0.5000

---

[6]
The following is a PBE-GGA calculation of a relaxed Th2ScBi2Te2 crystal, from Alexandria.

For the total energy, the calculation gives -5.52 eV per atom. The calculation puts the density of states at the Fermi level at 2.29 states/eV/cell. The uncorrected formation energy comes out at -3.4 eV/f.u. For the total magnetization, the calculation gives 0.97 μB/f.u. Its symmetry is No. 139.

Cell lengths 8.7866, 8.7866, 8.7866 Å; angles 142.85, 142.85, 53.55 degrees
Sites, in units of the cell vectors:
Th  0.1170  0.1170  0.0000
Th  0.8830  0.8830  0.0000
Sc  0.5000  0.5000  0.0000
Bi  0.0000  0.5000  0.5000
Bi  0.5000  0.0000  0.5000
Te  0.3130  0.3130  0.0000
Te  0.6870  0.6870  0.0000

---

[7]
The following is a PBE-GGA calculation of a relaxed PuIrBr crystal, from Alexandria.

For the total energy, the calculation gives -9.22 eV per atom. The calculation puts the density of states at the Fermi level at 21.12 states/eV/cell. The uncorrected formation energy comes out at -2.8 eV/f.u. For the total magnetization, the calculation gives 4.99 μB/f.u. Its symmetry is No. 166.

Cell lengths 11.0456, 11.0456, 11.0456 Å; angles 22.35, 22.35, 22.35 degrees
Sites, in units of the cell vectors:
Pu  0.0582  0.0582  0.0582
Pu  0.9418  0.9418  0.9418
Ir  0.3343  0.3343  0.3343
Ir  0.6657  0.6657  0.6657
Br  0.2194  0.2194  0.2194
Br  0.7806  0.7806  0.7806

---

[8]
The following is a PBE-GGA calculation of a relaxed CdFe2Si crystal, from Alexandria.

For the total energy, the calculation gives -5.55 eV per atom. The calculation puts the density of states at the Fermi level at 3.95 states/eV/cell. The uncorrected formation energy comes out at 1.1 eV/f.u. For the total magnetization, the calculation gives 4.31 μB/f.u. Its symmetry is No. 12.

Cell lengths 4.6410, 4.6410, 2.6990 Å; angles 90.09, 90.09, 108.25 degrees
Sites, in units of the cell vectors:
Cd  0.0000  0.0000  0.0000
Fe  0.0000  0.5000  0.5000
Fe  0.5000  0.0000  0.5000
Si  0.5000  0.5000  0.0000

---

[9]
The following is a PBE-GGA calculation of a relaxed AcLuCoCu crystal, from Alexandria.

For the total energy, the calculation gives -4.97 eV per atom. Its formation energy is -12 meV per atom. The calculation puts the density of states at the Fermi level at 3.96 states/eV/cell. For the total magnetization, the calculation gives 0.61 μB/f.u. Its symmetry is No. 216.

Cell lengths 5.0033, 5.0033, 5.0033 Å; angles 60.00, 60.00, 60.00 degrees
Sites, in units of the cell vectors:
Ac  0.0000  0.0000  0.0000
Lu  0.5000  0.5000  0.5000
Co  0.7500  0.7500  0.7500
Cu  0.2500  0.2500  0.2500

---

[10]
The following is a PBE-GGA calculation of a relaxed Ac4Ni2Pd crystal, from Alexandria.

For the total energy, the calculation gives -5.05 eV per atom. Its formation energy is -309 meV per atom. The calculation puts the density of states at the Fermi level at 5.38 states/eV/cell. For the total magnetization, the calculation gives 0.00 μB/f.u. Its symmetry is No. 10.

Cell lengths 7.0465, 4.3023, 7.8527 Å; angles 90.00, 104.79, 90.00 degrees
Sites, in units of the cell vectors:
Ac  0.0750  0.0000  0.2515
Ac  0.4187  0.5000  0.7548
Ac  0.5813  0.5000  0.2452
Ac  0.9250  0.0000  0.7485
Ni  0.3297  0.0000  0.9992
Ni  0.6703  0.0000  0.0008
Pd  0.0000  0.5000  0.5000

---

[11]
The following is a PBE-GGA calculation of a relaxed La2PdAu crystal, from Alexandria.

For the total energy, the calculation gives -5.07 eV per atom. Its formation energy is -492 meV per atom. The calculation puts the density of states at the Fermi level at 6.46 states/eV/cell. For the total magnetization, the calculation gives 0.00 μB/f.u. Its symmetry is No. 122.

Cell lengths 6.7140, 6.7140, 6.7140 Å; angles 107.83, 107.83, 112.80 degrees
Sites, in units of the cell vectors:
La  0.1102  0.6250  0.9852
La  0.3750  0.3602  0.4852
La  0.6398  0.1250  0.0148
La  0.8750  0.8898  0.5148
Pd  0.0000  0.0000  0.0000
Pd  0.7500  0.2500  0.5000
Au  0.2500  0.7500  0.5000
Au  0.5000  0.5000  0.0000

---

[12]
The following is a PBE-GGA calculation of a relaxed FeBiB3 crystal, from Alexandria.

For the total energy, the calculation gives -3.32 eV per atom. Its formation energy is 3155 meV per atom. The calculation puts the density of states at the Fermi level at 10.40 states/eV/cell. For the total magnetization, the calculation gives 0.08 μB/f.u. Its symmetry is No. 221.

Cell lengths 4.6077, 4.6077, 4.6077 Å; angles 90.00, 90.00, 90.00 degrees
Sites, in units of the cell vectors:
Fe  0.0000  0.0000  0.0000
Bi  0.5000  0.5000  0.5000
B  0.0000  0.5000  0.5000
B  0.5000  0.0000  0.5000
B  0.5000  0.5000  0.0000

---

[13]
The following is a PBE-GGA calculation of a relaxed PrY3Pt2 crystal, from Alexandria.

For the total energy, the calculation gives -6.94 eV per atom. Its formation energy is -902 meV per atom. The calculation puts the density of states at the Fermi level at 12.17 states/eV/cell. For the total magnetization, the calculation gives 0.00 μB/f.u. Its symmetry is No. 26.

Cell lengths 4.8274, 8.9322, 7.2428 Å; angles 90.00, 90.00, 90.00 degrees
Sites, in units of the cell vectors:
Pr  0.0000  0.0811  0.0000
Pr  0.0000  0.9189  0.5000
Y  0.0000  0.3355  0.6344
Y  0.0000  0.6645  0.1344
Y  0.5000  0.1740  0.3491
Y  0.5000  0.4206  0.9806
Y  0.5000  0.5794  0.4806
Y  0.5000  0.8260  0.8491
Pt  0.0000  0.3462  0.2360
Pt  0.0000  0.6538  0.7360
Pt  0.5000  0.1631  0.7444
Pt  0.5000  0.8369  0.2444

---

[14]
The following is a PBE-GGA calculation of a relaxed Dy3InPt crystal, from Alexandria.

For the total energy, the calculation gives -5.12 eV per atom. Its formation energy is -600 meV per atom. The calculation puts the density of states at the Fermi level at 14.71 states/eV/cell. For the total magnetization, the calculation gives 0.00 μB/f.u. Its symmetry is No. 63.

Cell lengths 9.0940, 9.0940, 7.3389 Å; angles 90.00, 90.00, 73.97 degrees
Sites, in units of the cell vectors:
Dy  0.1317  0.1317  0.0000
Dy  0.1317  0.1317  0.5000
Dy  0.1938  0.5317  0.5042
Dy  0.1938  0.5317  0.9958
Dy  0.4683  0.8062  0.5042
Dy  0.4683  0.8062  0.9958
Dy  0.5317  0.1938  0.0042
Dy  0.5317  0.1938  0.4958
Dy  0.8062  0.4683  0.0042
Dy  0.8062  0.4683  0.4958
Dy  0.8683  0.8683  0.0000
Dy  0.8683  0.8683  0.5000
In  0.1724  0.8276  0.2500
In  0.4991  0.5009  0.7500
In  0.5009  0.4991  0.2500
In  0.8276  0.1724  0.7500
Pt  0.0603  0.3739  0.2500
Pt  0.3739  0.0603  0.7500
Pt  0.6261  0.9397  0.2500
Pt  0.9397  0.6261  0.7500

---

[15]
The following is a PBE-GGA calculation of a relaxed Sm3Y2Ag3 crystal, from Alexandria.

For the total energy, the calculation gives -4.65 eV per atom. Its formation energy is -200 meV per atom. The calculation puts the density of states at the Fermi level at 7.92 states/eV/cell. For the total magnetization, the calculation gives 0.00 μB/f.u. Its symmetry is No. 71.

Cell lengths 11.4232, 11.4232, 11.4232 Å; angles 161.30, 152.83, 33.19 degrees
Sites, in units of the cell vectors:
Sm  0.0000  0.0000  0.0000
Sm  0.3790  0.8790  0.5000
Sm  0.6210  0.1210  0.5000
Y  0.2314  0.2314  0.0000
Y  0.7686  0.7686  0.0000
Ag  0.1190  0.6190  0.5000
Ag  0.5000  0.5000  0.0000
Ag  0.8810  0.3810  0.5000

---

[16]
The following is a PBE-GGA calculation of a relaxed HfCuH2Au crystal, from Alexandria.

For the total energy, the calculation gives -4.36 eV per atom. The calculation puts the density of states at the Fermi level at 2.55 states/eV/cell. For the total magnetization, the calculation gives 0.00 μB/f.u. Its symmetry is No. 123.

Cell lengths 3.7701, 3.7701, 4.9766 Å; angles 90.00, 90.00, 90.00 degrees
Sites, in units of the cell vectors:
Hf  0.0000  0.0000  0.0000
Cu  0.5000  0.5000  0.5000
H  0.0000  0.5000  0.5000
H  0.5000  0.0000  0.5000
Au  0.5000  0.5000  0.0000

---

[17]
The following is a PBE-GGA calculation of a relaxed In2Sb2PdAu7 crystal, from Alexandria.

For the total energy, the calculation gives -3.55 eV per atom. The calculation puts the density of states at the Fermi level at 3.37 states/eV/cell. The uncorrected formation energy comes out at -0.7 eV/f.u. For the total magnetization, the calculation gives 0.00 μB/f.u. Its symmetry is No. 12.

Cell lengths 4.0355, 4.0355, 16.9975 Å; angles 96.55, 96.55, 89.94 degrees
Sites, in units of the cell vectors:
In  0.1196  0.1196  0.2492
In  0.8804  0.8804  0.7508
Sb  0.2889  0.2889  0.5760
Sb  0.7111  0.7111  0.4240
Pd  0.5000  0.5000  0.0000
Au  0.0000  0.0000  0.0000
Au  0.0617  0.5619  0.1287
Au  0.2048  0.2048  0.4103
Au  0.4381  0.9383  0.8713
Au  0.5619  0.0617  0.1287
Au  0.7952  0.7952  0.5897
Au  0.9383  0.4381  0.8713

---

[18]
The following is a PBE-GGA calculation of a relaxed CsRbSb2W crystal, from Alexandria.

For the total energy, the calculation gives -4.17 eV per atom. The calculation puts the density of states at the Fermi level at 2.90 states/eV/cell. The uncorrected formation energy comes out at 2.2 eV/f.u. For the total magnetization, the calculation gives 0.00 μB/f.u. Its symmetry is No. 123.

Cell lengths 5.3882, 5.3882, 6.1231 Å; angles 90.00, 90.00, 90.00 degrees
Sites, in units of the cell vectors:
Cs  0.0000  0.0000  0.0000
Rb  0.5000  0.5000  0.0000
Sb  0.0000  0.5000  0.5000
Sb  0.5000  0.0000  0.5000
W  0.0000  0.0000  0.5000

---

[19]
The following is a PBE-GGA calculation of a relaxed LiZrRuRh2 crystal, from Alexandria.

For the total energy, the calculation gives -6.80 eV per atom. Its formation energy is 90 meV per atom. The calculation puts the density of states at the Fermi level at 3.83 states/eV/cell. For the total magnetization, the calculation gives 0.00 μB/f.u. Its symmetry is No. 123.

Cell lengths 4.1658, 4.1658, 4.2420 Å; angles 90.00, 90.00, 90.00 degrees
Sites, in units of the cell vectors:
Li  0.0000  0.0000  0.0000
Zr  0.5000  0.5000  0.5000
Ru  0.0000  0.0000  0.5000
Rh  0.0000  0.5000  0.0000
Rh  0.5000  0.0000  0.0000

---

[20]
The following is a PBE-GGA calculation of a relaxed PmScRh4 crystal, from Alexandria.

For the total energy, the calculation gives -7.41 eV per atom. Its formation energy is -663 meV per atom. The calculation puts the density of states at the Fermi level at 4.12 states/eV/cell. For the total magnetization, the calculation gives 0.00 μB/f.u. Its symmetry is No. 216.

Cell lengths 5.3071, 5.3071, 5.3071 Å; angles 60.00, 60.00, 60.00 degrees
Sites, in units of the cell vectors:
Pm  0.0000  0.0000  0.0000
Sc  0.7500  0.7500  0.7500
Rh  0.3754  0.3754  0.3754
Rh  0.3754  0.3754  0.8737
Rh  0.3754  0.8737  0.3754
Rh  0.8737  0.3754  0.3754